Record 1
Compound: Be3HgH
Source: Alexandria via LeMat-Bulk
Functional: GGA-PBEsol
Structure: relaxed

a = 4.4263 Å, b = 4.4263 Å, c = 4.4263 Å
α = 90.00°, β = 90.00°, γ = 90.00°
With the nearest neighbours (Å) after each atom.
Fractional coordinates of all 5 atoms:
Hg (0.0000, 0.0000, 0.0000)  6 Be 2.21
Be (0.5000, 0.0000, 0.0000)  2 Hg 2.21
Be (0.0000, 0.0000, 0.5000)  2 Hg 2.21
Be (0.0000, 0.5000, 0.0000)  2 Hg 2.21
H (0.5000, 0.5000, 0.5000)  12 Be 3.13

energy	-9.52	eV per cell
volume	86.7	Å³/cell

Record 2
Compound: BeHg2H
Source: Alexandria via LeMat-Bulk
Functional: GGA-PBEsol
Structure: relaxed

a = 4.2953 Å, b = 4.2953 Å, c = 4.2953 Å
α = 60.00°, β = 60.00°, γ = 60.00°
With the nearest neighbours (Å) after each atom.
Fractional coordinates of all 4 atoms:
H (0.0000, 0.0000, 0.0000)  8 Hg 2.63
Hg (0.7500, 0.7500, 0.7500)  4 H 2.63, 4 Be 2.63
Hg (0.2500, 0.2500, 0.2500)  4 H 2.63, 4 Be 2.63
Be (0.5000, 0.5000, 0.5000)  8 Hg 2.63

energy	-5.89	eV per cell
volume	56.0	Å³/cell

Record 3
Compound: BeZnHgH2
Source: Alexandria via LeMat-Bulk
Functional: GGA-PBEsol
Structure: relaxed

a = 3.3810 Å, b = 3.3810 Å, c = 5.7466 Å
α = 90.00°, β = 90.00°, γ = 90.00°
With the nearest neighbours (Å) after each atom.
Fractional coordinates of all 5 atoms:
Zn (0.0000, 0.0000, 0.0000)  4 H 1.69
Hg (0.0000, 0.0000, 0.5000)  4 Be 2.39
H (0.5000, 0.0000, 0.0000)  2 Zn 1.69
Be (0.5000, 0.5000, 0.5000)  4 Hg 2.39
H (0.0000, 0.5000, 0.0000)  2 Zn 1.69

energy	-10.33	eV per cell
volume	65.7	Å³/cell

Record 4
Compound: Be2HI
Source: Alexandria via LeMat-Bulk
Functional: GGA-PBEsol
Structure: relaxed

a = 4.3150 Å, b = 4.3150 Å, c = 4.3150 Å
α = 60.00°, β = 60.00°, γ = 60.00°
With the nearest neighbours (Å) after each atom.
Fractional coordinates of all 4 atoms:
H (0.0000, 0.0000, 0.0000)  8 Be 2.64
Be (0.7500, 0.7500, 0.7500)  4 I 2.64, 4 H 2.64
Be (0.2500, 0.2500, 0.2500)  4 H 2.64, 4 I 2.64
I (0.5000, 0.5000, 0.5000)  8 Be 2.64

energy	-8.10	eV per cell
volume	56.8	Å³/cell

Record 5
Compound: BeIn2HI
Source: Alexandria via LeMat-Bulk
Functional: GGA-PBEsol
Structure: relaxed

a = 3.4351 Å, b = 5.6677 Å, c = 5.6677 Å
α = 90.00°, β = 90.00°, γ = 90.00°
With the nearest neighbours (Å) after each atom.
Fractional coordinates of all 5 atoms:
H (0.0000, 0.0000, 0.0000)  2 Be 1.72
I (0.5000, 0.5000, 0.5000)  8 In 3.31, 2 I 3.44
In (0.0000, 0.5000, 0.0000)  2 H 2.83
In (0.0000, 0.0000, 0.5000)  2 H 2.83
Be (0.5000, 0.0000, 0.0000)  2 H 1.72

energy	-12.78	eV per cell
volume	110.3	Å³/cell

Record 6
Compound: BeH8I2O10
Source: Alexandria via LeMat-Bulk
Functional: GGA-PBEsol
Structure: relaxed

a = 6.3390 Å, b = 8.6415 Å, c = 15.5556 Å
α = 90.00°, β = 90.00°, γ = 90.00°
With the nearest neighbours (Å) after each atom.
Fractional coordinates of all 84 atoms:
O (0.5286, 0.5717, 0.7549)  2 H 1.01
O (0.1077, 0.8780, 0.6385)  2 H 1.51-1.61
I (0.7618, 0.5730, 0.0374)  3 O 1.83-1.86
O (0.1077, 0.3780, 0.8615)  2 H 1.51-1.61
O (0.5042, 0.0305, 0.4110)  2 H 1.60-1.70
H (0.6069, 0.8028, 0.8578)  1 O 1.03
O (0.8923, 0.1220, 0.3615)  2 H 1.51-1.61
O (0.3652, 0.6250, 0.5264)  1 I 1.84
H (0.9902, 0.4690, 0.3139)  1 O 1.01
I (0.7382, 0.0730, 0.0374)  3 O 1.83-1.86
O (0.9958, 0.5305, 0.4110)  2 H 1.60-1.70
H (0.1069, 0.1972, 0.3578)  1 O 1.03
Be (0.2500, 0.3357, 0.2500)  4 O 1.62-1.63
H (0.3641, 0.1766, 0.3655)  1 O 1.00
O (0.6348, 0.3750, 0.4736)  1 I 1.84
O (0.7504, 0.2553, 0.6585)  2 H 1.00-1.03
O (0.8652, 0.3750, 0.0264)  1 I 1.84
H (0.5098, 0.9690, 0.3139)  1 O 1.01
H (0.8641, 0.3234, 0.6345)  1 O 1.00
O (0.3923, 0.3780, 0.6385)  2 H 1.51-1.61
O (0.3652, 0.1250, 0.9736)  1 I 1.84
H (0.3931, 0.1972, 0.1422)  1 O 1.03
I (0.2382, 0.4270, 0.9626)  3 O 1.83-1.86
H (0.1359, 0.6766, 0.3655)  1 O 1.00
O (0.4958, 0.4695, 0.9110)  2 H 1.60-1.70
O (0.9714, 0.0717, 0.7549)  2 H 1.01
O (0.4714, 0.4283, 0.2451)  2 H 1.01
O (0.0286, 0.9283, 0.2451)  2 H 1.01
O (0.2504, 0.7447, 0.1585)  2 H 1.00-1.03
O (0.6077, 0.6220, 0.3615)  2 H 1.51-1.61
O (0.9714, 0.5717, 0.7451)  2 H 1.01
H (0.8931, 0.8028, 0.6422)  1 O 1.03
H (0.0098, 0.0310, 0.8139)  1 O 1.01
H (0.3931, 0.6972, 0.3578)  1 O 1.03
Be (0.2500, 0.8357, 0.2500)  4 O 1.62-1.63
O (0.7496, 0.2553, 0.8415)  2 H 1.00-1.03
O (0.1348, 0.6250, 0.9736)  1 I 1.84
I (0.7618, 0.0730, 0.4626)  3 O 1.83-1.86
H (0.6359, 0.8234, 0.6345)  1 O 1.00
O (0.8652, 0.8750, 0.4736)  1 I 1.84
H (0.5333, 0.4953, 0.2919)  1 O 1.01
H (0.5333, 0.9953, 0.2081)  1 O 1.01
O (0.9958, 0.0305, 0.0890)  2 H 1.60-1.70
I (0.7382, 0.5730, 0.4626)  3 O 1.83-1.86
O (0.0286, 0.4283, 0.2549)  2 H 1.01
O (0.2496, 0.2447, 0.1585)  2 H 1.00-1.03
H (0.6069, 0.3028, 0.6422)  1 O 1.03
O (0.5042, 0.5305, 0.0890)  2 H 1.60-1.70
O (0.2496, 0.7447, 0.3415)  2 H 1.00-1.03
H (0.3641, 0.6766, 0.1345)  1 O 1.00
O (0.4714, 0.9283, 0.2549)  2 H 1.01
H (0.6359, 0.3234, 0.8655)  1 O 1.00
O (0.6077, 0.1220, 0.1385)  2 H 1.51-1.61
O (0.4958, 0.9695, 0.5890)  2 H 1.60-1.70
H (0.0098, 0.5310, 0.6861)  1 O 1.01
O (0.0042, 0.4695, 0.5890)  2 H 1.60-1.70
O (0.0042, 0.9695, 0.9110)  2 H 1.60-1.70
H (0.1069, 0.6972, 0.1422)  1 O 1.03
H (0.0333, 0.0047, 0.7081)  1 O 1.01
H (0.9667, 0.4953, 0.2081)  1 O 1.01
I (0.2382, 0.9270, 0.5374)  3 O 1.83-1.86
H (0.4902, 0.5310, 0.8139)  1 O 1.01
H (0.4902, 0.0310, 0.6861)  1 O 1.01
O (0.6348, 0.8750, 0.0264)  1 I 1.84
H (0.5098, 0.4690, 0.1861)  1 O 1.01
H (0.9902, 0.9690, 0.1861)  1 O 1.01
I (0.2618, 0.9270, 0.9626)  3 O 1.83-1.86
I (0.2618, 0.4270, 0.5374)  3 O 1.83-1.86
H (0.0333, 0.5047, 0.7919)  1 O 1.01
O (0.7504, 0.7553, 0.8415)  2 H 1.00-1.03
O (0.2504, 0.2447, 0.3415)  2 H 1.00-1.03
O (0.7496, 0.7553, 0.6585)  2 H 1.00-1.03
H (0.8931, 0.3028, 0.8578)  1 O 1.03
O (0.8923, 0.6220, 0.1385)  2 H 1.51-1.61
H (0.8641, 0.8234, 0.8655)  1 O 1.00
Be (0.7500, 0.1643, 0.7500)  4 O 1.62-1.63
Be (0.7500, 0.6643, 0.7500)  4 O 1.62-1.63
O (0.5286, 0.0717, 0.7451)  2 H 1.01
H (0.9667, 0.9953, 0.2919)  1 O 1.01
O (0.1348, 0.1250, 0.5264)  1 I 1.84
H (0.1359, 0.1766, 0.1345)  1 O 1.00
O (0.3923, 0.8780, 0.8615)  2 H 1.51-1.61
H (0.4667, 0.5047, 0.7081)  1 O 1.01
H (0.4667, 0.0047, 0.7919)  1 O 1.01

energy	-429.41	eV per cell
volume	852.1	Å³/cell

Record 7
Compound: BeSb2HI
Source: Alexandria via LeMat-Bulk
Functional: GGA-PBEsol
Structure: relaxed

a = 4.1750 Å, b = 4.1750 Å, c = 6.6431 Å
α = 90.00°, β = 90.00°, γ = 90.00°
With the nearest neighbours (Å) after each atom.
Fractional coordinates of all 5 atoms:
Sb (0.5000, 0.0000, 0.0000)  2 H 2.09
Be (0.5000, 0.5000, 0.5000)  4 I 2.95
Sb (0.0000, 0.5000, 0.0000)  2 H 2.09
I (0.0000, 0.0000, 0.5000)  4 Be 2.95
H (0.0000, 0.0000, 0.0000)  4 Sb 2.09

energy	-14.28	eV per cell
volume	115.8	Å³/cell

Record 8
Compound: Be3InH
Source: Alexandria via LeMat-Bulk
Functional: GGA-PBEsol
Structure: relaxed

a = 3.7272 Å, b = 3.7272 Å, c = 3.7272 Å
α = 90.00°, β = 90.00°, γ = 90.00°
With the nearest neighbours (Å) after each atom.
Fractional coordinates of all 5 atoms:
Be (0.0000, 0.5000, 0.0000)  2 H 1.86
H (0.0000, 0.0000, 0.0000)  6 Be 1.86
Be (0.5000, 0.0000, 0.0000)  2 H 1.86
Be (0.0000, 0.0000, 0.5000)  2 H 1.86
In (0.5000, 0.5000, 0.5000)  12 Be 2.64

energy	-15.47	eV per cell
volume	51.8	Å³/cell

Record 9
Compound: BeIn2H
Source: Alexandria via LeMat-Bulk
Functional: GGA-PBEsol
Structure: relaxed

a = 4.4262 Å, b = 4.4262 Å, c = 4.4262 Å
α = 60.00°, β = 60.00°, γ = 60.00°
With the nearest neighbours (Å) after each atom.
Fractional coordinates of all 4 atoms:
H (0.0000, 0.0000, 0.0000)  8 In 2.71
Be (0.5000, 0.5000, 0.5000)  8 In 2.71
In (0.2500, 0.2500, 0.2500)  4 Be 2.71, 4 H 2.71
In (0.7500, 0.7500, 0.7500)  4 Be 2.71, 4 H 2.71

energy	-11.04	eV per cell
volume	61.3	Å³/cell

Record 10
Compound: Be2HIr
Source: Alexandria via LeMat-Bulk
Functional: GGA-PBEsol
Structure: relaxed

a = 3.7326 Å, b = 3.7326 Å, c = 3.7326 Å
α = 60.00°, β = 60.00°, γ = 60.00°
With the nearest neighbours (Å) after each atom.
Fractional coordinates of all 4 atoms:
Be (0.7500, 0.7500, 0.7500)  4 H 2.29, 4 Ir 2.29
Be (0.2500, 0.2500, 0.2500)  4 H 2.29, 4 Ir 2.29
H (0.0000, 0.0000, 0.0000)  8 Be 2.29
Ir (0.5000, 0.5000, 0.5000)  8 Be 2.29

energy	-19.75	eV per cell
volume	36.8	Å³/cell

Record 11
Compound: KBe2H
Source: Alexandria via LeMat-Bulk
Functional: GGA-PBEsol
Structure: relaxed

a = 4.7164 Å, b = 4.7164 Å, c = 4.7164 Å
α = 60.00°, β = 60.00°, γ = 60.00°
With the nearest neighbours (Å) after each atom.
Fractional coordinates of all 4 atoms:
H (0.0000, 0.0000, 0.0000)  8 Be 2.89
K (0.5000, 0.5000, 0.5000)  8 Be 2.89
Be (0.2500, 0.2500, 0.2500)  4 H 2.89, 4 K 2.89
Be (0.7500, 0.7500, 0.7500)  4 K 2.89, 4 H 2.89

energy	-5.70	eV per cell
volume	74.2	Å³/cell

Record 12
Compound: KBeH2
Source: Alexandria via LeMat-Bulk
Functional: GGA-PBEsol
Structure: relaxed

a = 4.6735 Å, b = 4.6735 Å, c = 5.7473 Å
α = 113.99°, β = 113.99°, γ = 90.00°
With the nearest neighbours (Å) after each atom.
Fractional coordinates of all 8 atoms:
H (0.6250, 0.3750, 0.2500)  2 Be 1.66
H (0.6250, 0.8750, 0.2500)  2 Be 1.66
Be (0.5000, 0.5000, 0.0000)  4 H 1.66
H (0.6250, 0.3750, 0.7500)  2 Be 1.66
K (0.2500, 0.7500, 0.5000)  8 H 2.86
K (0.0000, 0.0000, 0.0000)  8 H 2.86
Be (0.7500, 0.2500, 0.5000)  4 H 1.66
H (0.1250, 0.3750, 0.7500)  2 Be 1.66

energy	-21.43	eV per cell
volume	102.7	Å³/cell

Which of these has the highest volume? BeH8I2O10